Record 1
# Th5Tl4Hg, relaxed, DFT GGA-PBE
data_Th5Tl4Hg
_cell_length_a 3.532
_cell_length_b 3.532
_cell_length_c 23.108
_cell_angle_alpha 90.00
_cell_angle_beta 90.00
_cell_angle_gamma 90.00
_space_group_name_H-M_alt 'P 1'
_space_group_IT_number 1
loop_
_space_group_symop_operation_xyz
'x,y,z'
loop_
_atom_site_label
_atom_site_fract_x
_atom_site_fract_y
_atom_site_fract_z
_atom_site_occupancy
Th1 0.500 0.500 0.097 1
Th2 0.500 0.500 0.298 1
Th3 0.500 0.500 0.500 1
Th4 0.500 0.500 0.702 1
Th5 0.500 0.500 0.903 1
Tl1 0.000 0.000 0.198 1
Tl2 0.000 0.000 0.399 1
Tl3 0.000 0.000 0.601 1
Tl4 0.000 0.000 0.802 1
Hg1 0.000 0.000 0.000 1
# calculated total energy	-4.8471	eV/atom
# energy of formation from the pure elements	-15	kJ/mol of atoms
# total magnetic moment	0.02	μB per formula unit
# DOS(E_F)	13.25	states/eV/cell

***

Record 2
# Th5TlHg, relaxed, DFT GGA-PBE
data_Th5TlHg
_cell_length_a 8.185
_cell_length_b 8.185
_cell_length_c 12.042
_cell_angle_alpha 49.86
_cell_angle_beta 49.86
_cell_angle_gamma 71.87
_space_group_name_H-M_alt 'P 1'
_space_group_IT_number 1
loop_
_space_group_symop_operation_xyz
'x,y,z'
loop_
_atom_site_label
_atom_site_fract_x
_atom_site_fract_y
_atom_site_fract_z
_atom_site_occupancy
Th1 0.682 0.680 0.121 1
Th2 0.438 0.785 0.415 1
Th3 0.680 0.682 0.621 1
Th4 0.827 0.173 0.250 1
Th5 0.215 0.562 0.085 1
Th6 0.785 0.438 0.915 1
Th7 0.173 0.827 0.750 1
Th8 0.320 0.318 0.379 1
Th9 0.562 0.215 0.585 1
Th10 0.318 0.320 0.879 1
Tl1 0.190 0.810 0.250 1
Tl2 0.810 0.190 0.750 1
Hg1 0.000 0.000 0.000 1
Hg2 0.000 0.000 0.500 1
# calculated total energy	-5.4381	eV/atom
# energy of formation from the pure elements	23	kJ/mol of atoms
# total magnetic moment	0.00	μB per formula unit
# DOS(E_F)	20.39	states/eV/cell

***

Record 3
# Th2TlHg, relaxed, DFT GGA-PBE
data_Th2TlHg
_cell_length_a 4.791
_cell_length_b 4.791
_cell_length_c 7.150
_cell_angle_alpha 70.43
_cell_angle_beta 70.43
_cell_angle_gamma 60.00
_space_group_name_H-M_alt 'P 1'
_space_group_IT_number 1
loop_
_space_group_symop_operation_xyz
'x,y,z'
loop_
_atom_site_label
_atom_site_fract_x
_atom_site_fract_y
_atom_site_fract_z
_atom_site_occupancy
Th1 0.078 0.078 0.766 1
Th2 0.258 0.258 0.226 1
Tl1 0.499 0.499 0.503 1
Hg1 0.665 0.665 0.005 1
# calculated total energy	-4.2569	eV/atom
# energy of formation from the pure elements	12	kJ/mol of atoms
# total magnetic moment	0.00	μB per formula unit
# DOS(E_F)	4.76	states/eV/cell

***

Record 4
# ThTlHg4, relaxed, DFT GGA-PBE
data_ThTlHg4
_cell_length_a 3.390
_cell_length_b 5.125
_cell_length_c 9.047
_cell_angle_alpha 90.00
_cell_angle_beta 89.80
_cell_angle_gamma 90.00
_space_group_name_H-M_alt 'P 1'
_space_group_IT_number 1
loop_
_space_group_symop_operation_xyz
'x,y,z'
loop_
_atom_site_label
_atom_site_fract_x
_atom_site_fract_y
_atom_site_fract_z
_atom_site_occupancy
Th1 0.500 0.000 0.000 1
Tl1 0.500 0.500 0.500 1
Hg1 0.001 0.000 0.665 1
Hg2 0.002 0.500 0.834 1
Hg3 0.999 0.000 0.335 1
Hg4 0.998 0.500 0.166 1
# calculated total energy	-1.9341	eV/atom
# energy relative to the lowest polymorph listed for this composition	0	meV/atom
# energy of formation from the pure elements	-10	kJ/mol of atoms
# total magnetic moment	0.00	μB per formula unit
# DOS(E_F)	3.42	states/eV/cell

***

Record 5
# Th3TlHg5, relaxed, DFT GGA-PBE
data_Th3TlHg5
_cell_length_a 8.803
_cell_length_b 8.803
_cell_length_c 9.036
_cell_angle_alpha 119.15
_cell_angle_beta 119.15
_cell_angle_gamma 90.00
_space_group_name_H-M_alt 'P 1'
_space_group_IT_number 1
loop_
_space_group_symop_operation_xyz
'x,y,z'
loop_
_atom_site_label
_atom_site_fract_x
_atom_site_fract_y
_atom_site_fract_z
_atom_site_occupancy
Th1 0.621 0.121 0.000 1
Th2 0.379 0.879 0.000 1
Th3 0.879 0.621 0.000 1
Th4 0.121 0.379 0.000 1
Th5 0.250 0.250 0.500 1
Th6 0.750 0.750 0.500 1
Tl1 0.750 0.250 0.500 1
Tl2 0.250 0.750 0.500 1
Hg1 0.050 0.550 0.707 1
Hg2 0.656 0.156 0.707 1
Hg3 0.156 0.050 0.707 1
Hg4 0.550 0.656 0.707 1
Hg5 0.950 0.450 0.293 1
Hg6 0.344 0.844 0.293 1
Hg7 0.844 0.950 0.293 1
Hg8 0.450 0.344 0.293 1
Hg9 0.500 0.500 0.000 1
Hg10 0.000 0.000 0.000 1
# calculated total energy	-2.8953	eV/atom
# energy relative to the lowest polymorph listed for this composition	219	meV/atom
# energy of formation from the pure elements	1	kJ/mol of atoms
# total magnetic moment	0.00	μB per formula unit
# DOS(E_F)	14.63	states/eV/cell

***

Record 6
# Th7Tl3Hg2, relaxed, DFT GGA-PBE
data_Th7Tl3Hg2
_cell_length_a 5.705
_cell_length_b 5.675
_cell_length_c 12.333
_cell_angle_alpha 103.30
_cell_angle_beta 90.00
_cell_angle_gamma 90.00
_space_group_name_H-M_alt 'P 1'
_space_group_IT_number 1
loop_
_space_group_symop_operation_xyz
'x,y,z'
loop_
_atom_site_label
_atom_site_fract_x
_atom_site_fract_y
_atom_site_fract_z
_atom_site_occupancy
Th1 0.000 0.423 0.847 1
Th2 0.000 0.714 0.428 1
Th3 0.000 0.000 0.000 1
Th4 0.000 0.577 0.153 1
Th5 0.500 0.083 0.165 1
Th6 0.500 0.917 0.835 1
Th7 0.000 0.286 0.572 1
Tl1 0.500 0.500 0.000 1
Tl2 0.500 0.657 0.313 1
Tl3 0.500 0.343 0.687 1
Hg1 0.000 0.849 0.698 1
Hg2 0.000 0.151 0.302 1
# calculated total energy	-4.8439	eV/atom
# energy of formation from the pure elements	12	kJ/mol of atoms
# total magnetic moment	0.00	μB per formula unit
# DOS(E_F)	11.81	states/eV/cell

***

Record 7
# ThTlHg4, relaxed, DFT GGA-PBE
data_ThTlHg4
_cell_length_a 6.061
_cell_length_b 6.061
_cell_length_c 6.061
_cell_angle_alpha 60.00
_cell_angle_beta 60.00
_cell_angle_gamma 60.00
_space_group_name_H-M_alt 'P 1'
_space_group_IT_number 1
loop_
_space_group_symop_operation_xyz
'x,y,z'
loop_
_atom_site_label
_atom_site_fract_x
_atom_site_fract_y
_atom_site_fract_z
_atom_site_occupancy
Tl1 0.000 0.000 0.000 1
Hg1 0.625 0.625 0.125 1
Hg2 0.625 0.125 0.625 1
Hg3 0.625 0.625 0.625 1
Hg4 0.125 0.625 0.625 1
Th1 0.250 0.250 0.250 1
# calculated total energy	-1.8040	eV/atom
# energy relative to the lowest polymorph listed for this composition	130	meV/atom
# energy of formation from the pure elements	3	kJ/mol of atoms
# total magnetic moment	0.00	μB per formula unit
# DOS(E_F)	2.32	states/eV/cell

***

Record 8
# ThTlHg6, relaxed, DFT GGA-PBE
data_ThTlHg6
_cell_length_a 6.467
_cell_length_b 6.467
_cell_length_c 8.608
_cell_angle_alpha 67.93
_cell_angle_beta 67.93
_cell_angle_gamma 60.00
_space_group_name_H-M_alt 'P 1'
_space_group_IT_number 1
loop_
_space_group_symop_operation_xyz
'x,y,z'
loop_
_atom_site_label
_atom_site_fract_x
_atom_site_fract_y
_atom_site_fract_z
_atom_site_occupancy
Th1 0.000 0.000 0.000 1
Tl1 0.500 0.500 0.500 1
Hg1 0.075 0.075 0.305 1
Hg2 0.075 0.545 0.305 1
Hg3 0.455 0.925 0.695 1
Hg4 0.925 0.455 0.695 1
Hg5 0.925 0.925 0.695 1
Hg6 0.545 0.075 0.305 1
# calculated total energy	-1.2342	eV/atom
# energy of formation from the pure elements	21	kJ/mol of atoms
# total magnetic moment	0.00	μB per formula unit
# DOS(E_F)	6.38	states/eV/cell

***

Record 9
# Th2TlHg2, relaxed, DFT GGA-PBE
data_Th2TlHg2
_cell_length_a 4.597
_cell_length_b 7.836
_cell_length_c 7.836
_cell_angle_alpha 90.00
_cell_angle_beta 90.00
_cell_angle_gamma 90.00
_space_group_name_H-M_alt 'P 1'
_space_group_IT_number 1
loop_
_space_group_symop_operation_xyz
'x,y,z'
loop_
_atom_site_label
_atom_site_fract_x
_atom_site_fract_y
_atom_site_fract_z
_atom_site_occupancy
Th1 0.500 0.167 0.667 1
Th2 0.500 0.667 0.833 1
Th3 0.500 0.833 0.333 1
Th4 0.500 0.333 0.167 1
Tl1 0.000 0.000 0.000 1
Tl2 0.000 0.500 0.500 1
Hg1 0.000 0.368 0.868 1
Hg2 0.000 0.868 0.632 1
Hg3 0.000 0.632 0.132 1
Hg4 0.000 0.132 0.368 1
# calculated total energy	-3.7188	eV/atom
# energy of formation from the pure elements	-15	kJ/mol of atoms
# total magnetic moment	0.00	μB per formula unit
# DOS(E_F)	10.46	states/eV/cell

***

Record 10
# ThTlHg3, relaxed, DFT GGA-PBE
data_ThTlHg3
_cell_length_a 5.571
_cell_length_b 5.571
_cell_length_c 10.854
_cell_angle_alpha 90.00
_cell_angle_beta 90.00
_cell_angle_gamma 120.00
_space_group_name_H-M_alt 'P 1'
_space_group_IT_number 1
loop_
_space_group_symop_operation_xyz
'x,y,z'
loop_
_atom_site_label
_atom_site_fract_x
_atom_site_fract_y
_atom_site_fract_z
_atom_site_occupancy
Th1 0.898 0.898 0.000 1
Th2 0.898 0.898 0.500 1
Tl1 0.903 0.519 0.750 1
Tl2 0.519 0.903 0.250 1
Hg1 0.563 0.229 0.997 1
Hg2 0.563 0.229 0.503 1
Hg3 0.231 0.198 0.750 1
Hg4 0.229 0.563 0.497 1
Hg5 0.229 0.563 0.003 1
Hg6 0.198 0.231 0.250 1
# calculated total energy	-2.1359	eV/atom
# energy of formation from the pure elements	0	kJ/mol of atoms
# total magnetic moment	0.00	μB per formula unit
# DOS(E_F)	5.73	states/eV/cell